Entry 1:
Ac2Y2Te5: relaxed, PBE-GGA.

## Properties
calculated total energy: -5.418 eV/atom
formation energy (no corrections): -1.323 eV/atom
calculated volume: 34.8 Å³/atom

abc: 6.0396 8.9781 6.4981
angles: 108.25 90.00 109.65
With the nearest neighbours (Å) after each atom.
Fractional positions:
Te (0.6334, 0.2668, 0.8572)  3 Y 3.10-3.14, 2 Ac 3.28-3.31
Te (0.1883, 0.3765, 0.4802)  2 Y 3.13-3.39, 3 Ac 3.38-3.40
Te (0.3666, 0.7332, 0.1428)  3 Y 3.10-3.14, 2 Ac 3.28-3.31
Te (0.0000, 0.0000, 0.0000)  2 Y 3.02
Te (0.8117, 0.6235, 0.5198)  2 Y 3.13-3.39, 3 Ac 3.38-3.40
Y (0.1700, 0.3400, 0.9439)  5 Te 3.02-3.14
Y (0.8300, 0.6600, 0.0561)  5 Te 3.02-3.14
Ac (0.4016, 0.8031, 0.6753)  5 Te 3.28-3.40
Ac (0.5984, 0.1969, 0.3247)  5 Te 3.28-3.40

***

Entry 2:
BaCeCdAg: relaxed, PBE-GGA.

## Properties
calculated total energy: -2.961 eV/atom
energy of formation from the pure elements: -55 meV per atom
calculated volume: 31.7 Å³/atom

abc: 5.6390 5.6390 5.6390
angles: 60.00 60.00 60.00
With the nearest neighbours (Å) after each atom.
Fractional positions:
Ba (0.5000, 0.5000, 0.5000)  4 Cd 3.45, 4 Ag 3.45
Ag (0.7500, 0.7500, 0.7500)  4 Ba 3.45, 4 Ce 3.45
Ce (0.0000, 0.0000, 0.0000)  4 Ag 3.45, 4 Cd 3.45
Cd (0.2500, 0.2500, 0.2500)  4 Ce 3.45, 4 Ba 3.45

***

Entry 3:
CdRe2Pb: relaxed, PBE-GGA.

## Properties
calculated total energy: -7.027 eV/atom
energy of formation from the pure elements: 353 meV per atom
calculated volume: 20.6 Å³/atom

abc: 3.0829 3.0829 8.6673
angles: 90.00 90.00 90.00
With the nearest neighbours (Å) after each atom.
Fractional positions:
Pb (0.5000, 0.5000, 0.7892)  4 Pb 3.08, 4 Re 3.16
Cd (0.0000, 0.0000, 0.4468)  4 Re 2.99, 4 Cd 3.08
Re (0.0000, 0.0000, 0.0528)  4 Re 2.58
Re (0.5000, 0.5000, 0.2113)  4 Re 2.58

***

Entry 4:
BaSrY2: relaxed, PBE-GGA.

## Properties
calculated total energy: -3.893 eV/atom
energy of formation from the pure elements: 240 meV per atom
calculated volume: 41.9 Å³/atom

abc: 6.7014 6.7014 6.8900
angles: 79.46 79.46 33.45
With the nearest neighbours (Å) after each atom.
Fractional positions:
Ba (0.4926, 0.4926, 0.5133)  7 Y 3.80-4.12, 2 Ba 3.86, 3 Sr 3.87-4.05
Y (0.0125, 0.0125, 0.9798)  4 Y 3.55-3.86, 2 Ba 3.80, 3 Sr 3.89-3.93
Y (0.7382, 0.7382, 0.7693)  4 Y 3.55-3.86, 2 Sr 3.80, 3 Ba 3.90-3.91
Sr (0.2567, 0.2567, 0.2376)  7 Y 3.80-4.11, 2 Sr 3.86, 3 Ba 3.87-4.05

***

Entry 5:
SiB2Br: relaxed, PBE-GGA.

## Properties
calculated total energy: -5.065 eV/atom
formation energy (no corrections): 0.048 eV/atom
calculated volume: 15.1 Å³/atom

abc: 3.1626 3.4545 12.4297
angles: 86.00 88.86 62.76
With the nearest neighbours (Å) after each atom.
Fractional positions:
Br (0.4042, 0.2451, 0.1559)  1 Si 2.23
Br (0.5958, 0.7549, 0.8441)  1 Si 2.23
B (0.3532, 0.2961, 0.4839)  4 B 1.78-1.95
B (0.6468, 0.7039, 0.5161)  4 B 1.78-1.95
B (0.7982, 0.4199, 0.3956)  3 B 1.78-1.95
B (0.2018, 0.5801, 0.6044)  3 B 1.78-1.95
Si (0.5120, 0.9498, 0.6682)  4 B 2.04-2.13, 1 Br 2.23
Si (0.4880, 0.0502, 0.3318)  4 B 2.04-2.13, 1 Br 2.23